[1]
A geometry-optimized CeHo3Tm6 structure, computed with PBE-GGA.

Output
- Fermi-level density of states (states/eV per atom) = 1.940
- ΔE_f (eV/atom) = 0.348
- crystal system = monoclinic

Cell lengths 14.1600, 6.4048, 8.7521 Å; angles 90.00, 124.70, 90.00 degrees
Space group C2/m (No. 12)
Unique sites:
Ce1 0.0000 0.0000 0.0000
Ho1 0.0000 0.0000 0.5000
Ho2 0.0060 0.5000 0.2338
Tm1 0.2079 0.0000 0.4530
Tm2 0.2483 0.2550 0.1767

***

[2]
A geometry-optimized Ce2HoTm structure, computed with PBE-GGA.

Output
- Fermi-level density of states (states/eV per atom) = 2.563
- ΔE_f (eV/atom) = 0.083
- crystal system = trigonal

Cell lengths 3.4659, 3.4659, 34.2079 Å; angles 90.00, 90.00, 120.00 degrees
Space group R-3m (No. 166, hexagonal axes)
Unique sites:
Ce1 0.0000 0.0000 0.2504
Ho1 0.0000 0.0000 0.5000
Tm1 0.0000 0.0000 0.0000

***

Among the records above, which one has the lowest Fermi-level density of states? CeHo3Tm6

***

Which formula does entry 1 have? CeHo3Tm6

***

Look up the ΔE_f of the first one. 0.348 eV/atom